Compound: ScCrOs3
Source: the Alexandria database
Functional: meta-GGA SCAN
Structure: PBEsol geometry

Spin magnetization, μB per atom: 0.00
Crystal system: cubic
Space group: No. 221
Energy of formation, eV/atom: 0.893

abc: 4.4102 4.4102 4.4102
angles: 90.00 90.00 90.00
Element x y z (fractional)
Sc 0.5000 0.5000 0.5000
Cr 0.0000 0.0000 0.0000
Os 0.0000 0.5000 0.0000
Os 0.0000 0.0000 0.5000
Os 0.5000 0.0000 0.0000

Compound: ScCr2Os
Source: the Alexandria database
Functional: meta-GGA SCAN
Structure: PBEsol geometry

Spin magnetization, μB per atom: 0.00
Crystal system: orthorhombic
Space group: No. 65
Energy of formation, eV/atom: 0.374
E above lowest polymorph, meV per atom: 214.2

abc: 2.6452 4.9017 4.9017
angles: 119.10 90.00 90.00
Element x y z (fractional)
Cr 0.0000 0.5000 0.0000
Cr 0.0000 0.0000 0.5000
Os 0.5000 0.0000 0.0000
Sc 0.5000 0.5000 0.5000

Compound: ScCrOs2
Source: the Alexandria database
Functional: meta-GGA SCAN
Structure: PBEsol geometry

Spin magnetization, μB per atom: 0.00
Crystal system: monoclinic
Space group: No. 10
Energy of formation, eV/atom: -0.004
E above lowest polymorph, meV per atom: 14.8

abc: 2.7770 4.0667 5.3401
angles: 90.00 104.12 90.00
Element x y z (fractional)
Cr 0.0000 0.5000 0.5000
Os 0.8254 0.0000 0.7237
Os 0.1746 0.0000 0.2763
Sc 0.5000 0.5000 0.0000

Compound: ScCr2Os
Source: the Alexandria database
Functional: meta-GGA SCAN
Structure: PBEsol geometry

Spin magnetization, μB per atom: 0.00
Crystal system: trigonal
Space group: No. 160
Energy of formation, eV/atom: 0.338
E above lowest polymorph, meV per atom: 177.7

abc: 2.7925 2.7925 8.4541
angles: 80.49 80.49 60.00
Element x y z (fractional)
Cr 0.9887 0.9887 0.0340
Cr 0.2558 0.2558 0.2325
Os 0.5089 0.5089 0.4732
Sc 0.7466 0.7466 0.7603

Compound: ScCr2Os
Source: the Alexandria database
Functional: meta-GGA SCAN
Structure: PBEsol geometry

Spin magnetization, μB per atom: 0.00
Crystal system: monoclinic
Space group: No. 12
Energy of formation, eV/atom: 0.160
E above lowest polymorph, meV per atom: 0.0

abc: 2.6832 4.9104 4.9104
angles: 116.82 100.01 100.01
Element x y z (fractional)
Cr 0.0000 0.5000 0.0000
Cr 0.0000 0.0000 0.5000
Os 0.5000 0.0000 0.0000
Sc 0.5000 0.5000 0.5000

Compound: ScCrOs2
Source: the Alexandria database
Functional: meta-GGA SCAN
Structure: PBEsol geometry

Spin magnetization, μB per atom: 0.00
Crystal system: cubic
Space group: No. 216
Energy of formation, eV/atom: 0.045
E above lowest polymorph, meV per atom: 64.4

abc: 4.3251 4.3251 4.3251
angles: 60.00 60.00 60.00
Element x y z (fractional)
Cr 0.5000 0.5000 0.5000
Os 0.0000 0.0000 0.0000
Os 0.7500 0.7500 0.7500
Sc 0.2500 0.2500 0.2500

Compound: ScCr2Os
Source: the Alexandria database
Functional: meta-GGA SCAN
Structure: PBEsol geometry

Spin magnetization, μB per atom: 0.00
Crystal system: tetragonal
Space group: No. 139
Energy of formation, eV/atom: 0.318
E above lowest polymorph, meV per atom: 157.6

abc: 3.5980 3.5980 5.0177
angles: 111.01 111.01 90.00
Element x y z (fractional)
Cr 0.7500 0.2500 0.5000
Cr 0.2500 0.7500 0.5000
Os 0.5000 0.5000 0.0000
Sc 0.0000 0.0000 0.0000

Compound: ScCrOs2
Source: the Alexandria database
Functional: meta-GGA SCAN
Structure: PBEsol geometry

Spin magnetization, μB per atom: 0.00
Crystal system: orthorhombic
Space group: No. 71
Energy of formation, eV/atom: -0.019
E above lowest polymorph, meV per atom: 0.0

abc: 2.9383 4.5097 5.1305
angles: 116.07 106.64 90.00
Element x y z (fractional)
Cr 0.0000 0.5000 0.0000
Os 0.7252 0.7252 0.4503
Os 0.2748 0.2748 0.5497
Sc 0.5000 0.0000 0.0000

Compound: Cr2OsSe
Source: the Alexandria database
Functional: meta-GGA SCAN
Structure: PBEsol geometry

Spin magnetization, μB per atom: 0.00
Crystal system: orthorhombic
Space group: No. 35
Raw formation energy, eV per atom: 0.602

abc: 2.6459 2.6459 8.7037
angles: 90.00 90.00 113.61
Element x y z (fractional)
Cr 0.0000 0.0000 0.9768
Cr 0.5000 0.5000 0.7698
Os 0.0000 0.0000 0.5400
Se 0.5000 0.5000 0.2134

Compound: Cr2OsSe
Source: the Alexandria database
Functional: meta-GGA SCAN
Structure: PBEsol geometry

Spin magnetization, μB per atom: 1.40
Crystal system: tetragonal
Space group: No. 123
Raw formation energy, eV per atom: 0.402

abc: 3.5861 3.8695 3.8695
angles: 90.00 90.00 90.00
Site moments in Bohr magnetons follow the coordinates.
Element x y z (fractional)
Cr 0.0000 0.0000 0.5000  2.67
Cr 0.0000 0.5000 0.0000  2.67
Os 0.5000 0.5000 0.5000  0.08
Se 0.5000 0.0000 0.0000  -0.14

Compound: Cr2OsSe
Source: the Alexandria database
Functional: meta-GGA SCAN
Structure: PBEsol geometry

Spin magnetization, μB per atom: 0.08
Crystal system: monoclinic
Space group: No. 8
Raw formation energy, eV per atom: 0.246

abc: 2.8413 4.3806 4.5424
angles: 96.76 108.22 90.00
Site moments in Bohr magnetons follow the coordinates.
Element x y z (fractional)
Cr 0.0131 0.9838 0.0262  -2.33
Cr 0.7443 0.2665 0.4887  2.29
Os 0.4825 0.4520 0.9650  -0.22
Se 0.2601 0.7977 0.5201  -0.04

Compound: CrOs3Se
Source: the Alexandria database
Functional: meta-GGA SCAN
Structure: PBEsol geometry

Spin magnetization, μB per atom: 0.00
Crystal system: cubic
Space group: No. 221
Raw formation energy, eV per atom: 2.093

abc: 4.4177 4.4177 4.4177
angles: 90.00 90.00 90.00
Element x y z (fractional)
Cr 0.0000 0.0000 0.0000
Os 0.0000 0.5000 0.0000
Os 0.0000 0.0000 0.5000
Os 0.5000 0.0000 0.0000
Se 0.5000 0.5000 0.5000

Compound: CrOsSe
Source: the Alexandria database
Functional: meta-GGA SCAN
Structure: PBEsol geometry

Spin magnetization, μB per atom: 0.74
Crystal system: orthorhombic
Space group: No. 42
Raw formation energy, eV per atom: 0.617

abc: 2.7083 2.7083 6.9852
angles: 96.29 96.29 115.78
Site moments in Bohr magnetons follow the coordinates.
Element x y z (fractional)
Cr 0.0027 0.0027 0.0055  2.51
Os 0.6440 0.6440 0.2880  -0.36
Se 0.3532 0.3532 0.7065  -0.07

Compound: Cr3OsSe
Source: the Alexandria database
Functional: meta-GGA SCAN
Structure: PBEsol geometry

Spin magnetization, μB per atom: 0.00
Crystal system: cubic
Space group: No. 221
Raw formation energy, eV per atom: 1.490

abc: 4.2019 4.2019 4.2019
angles: 90.00 90.00 90.00
Element x y z (fractional)
Cr 0.0000 0.5000 0.0000
Cr 0.0000 0.0000 0.5000
Cr 0.5000 0.0000 0.0000
Os 0.5000 0.5000 0.5000
Se 0.0000 0.0000 0.0000

Compound: CrSi2Os
Source: the Alexandria database
Functional: meta-GGA SCAN
Structure: PBEsol geometry

Spin magnetization, μB per atom: 0.00
Crystal system: monoclinic
Space group: No. 12
Raw formation energy, eV per atom: 0.045

abc: 2.7452 4.7041 4.7041
angles: 108.70 105.41 105.41
Element x y z (fractional)
Cr 0.5000 0.5000 0.5000
Os 0.5000 0.0000 0.0000
Si 0.0000 0.0000 0.5000
Si 0.0000 0.5000 0.0000

Compound: CrSiOs2
Source: the Alexandria database
Functional: meta-GGA SCAN
Structure: PBEsol geometry

Spin magnetization, μB per atom: 0.00
Crystal system: tetragonal
Space group: No. 99
Raw formation energy, eV per atom: -0.074

abc: 2.7985 2.7985 6.4519
angles: 90.00 90.00 90.00
Element x y z (fractional)
Cr 0.5000 0.5000 0.7279
Os 0.0000 0.0000 0.9850
Os 0.5000 0.5000 0.2752
Si 0.0000 0.0000 0.5119

Compound: CrSiOs2
Source: the Alexandria database
Functional: meta-GGA SCAN
Structure: PBEsol geometry

Spin magnetization, μB per atom: 0.51
Crystal system: tetragonal
Space group: No. 123
Raw formation energy, eV per atom: -0.335

abc: 2.9244 4.1894 4.1894
angles: 90.00 90.00 90.00
Site moments in Bohr magnetons follow the coordinates.
Element x y z (fractional)
Cr 0.5000 0.0000 0.0000  2.24
Os 0.0000 0.0000 0.5000  -0.14
Os 0.0000 0.5000 0.0000  -0.14
Si 0.5000 0.5000 0.5000  0.02

Compound: SrCrOs2
Source: the Alexandria database
Functional: meta-GGA SCAN
Structure: PBEsol geometry

Spin magnetization, μB per atom: 0.00
Crystal system: orthorhombic
Space group: No. 25
Energy of formation, eV/atom: 0.731
E above lowest polymorph, meV per atom: 0.0

abc: 2.7755 3.6435 7.1540
angles: 90.00 90.00 90.00
Element x y z (fractional)
Cr 0.5000 0.5000 0.8436
Os 0.0000 0.0000 0.9829
Os 0.5000 0.5000 0.1789
Sr 0.0000 0.0000 0.4947

Compound: SrCrOs
Source: the Alexandria database
Functional: meta-GGA SCAN
Structure: PBEsol geometry

Spin magnetization, μB per atom: 0.00
Crystal system: tetragonal
Space group: No. 107
Energy of formation, eV/atom: 0.541

abc: 3.2614 3.2614 6.1400
angles: 105.40 105.40 90.00
Element x y z (fractional)
Cr 0.0575 0.0575 0.1150
Os 0.6107 0.6107 0.2213
Sr 0.3318 0.3318 0.6636

Compound: SrCrOs2
Source: the Alexandria database
Functional: meta-GGA SCAN
Structure: PBEsol geometry

Spin magnetization, μB per atom: 0.64
Crystal system: orthorhombic
Space group: No. 44
Energy of formation, eV/atom: 0.823
E above lowest polymorph, meV per atom: 91.8

abc: 2.8469 4.9851 5.7435
angles: 115.72 104.35 90.00
Site moments in Bohr magnetons follow the coordinates.
Element x y z (fractional)
Cr 0.2875 0.7875 0.5751  3.16
Os 0.9994 0.9994 0.9988  -0.28
Os 0.7136 0.2136 0.4272  -0.52
Sr 0.4995 0.4995 0.9989  0.01

Compound: TaCrOs
Source: the Alexandria database
Functional: meta-GGA SCAN
Structure: PBEsol geometry

Spin magnetization, μB per atom: 1.16
Crystal system: cubic
Space group: No. 216
Energy of formation, eV/atom: 0.531
E above lowest polymorph, meV per atom: 203.7

abc: 4.2074 4.2074 4.2074
angles: 60.00 60.00 60.00
Site moments in Bohr magnetons follow the coordinates.
Element x y z (fractional)
Cr 0.0000 0.0000 0.0000  3.15
Os 0.5000 0.5000 0.5000  0.23
Ta 0.2500 0.2500 0.2500  -0.17

Compound: TaCr3Os
Source: the Alexandria database
Functional: meta-GGA SCAN
Structure: PBEsol geometry

Spin magnetization, μB per atom: 1.28
Crystal system: cubic
Space group: No. 221
Energy of formation, eV/atom: 2.133

abc: 4.3253 4.3253 4.3253
angles: 90.00 90.00 90.00
Site moments in Bohr magnetons follow the coordinates.
Element x y z (fractional)
Cr 0.0000 0.5000 0.0000  2.61
Cr 0.0000 0.0000 0.5000  2.61
Cr 0.5000 0.0000 0.0000  2.61
Os 0.5000 0.5000 0.5000  -1.25
Ta 0.0000 0.0000 0.0000  -0.45

Compound: TaCr4Os
Source: the Alexandria database
Functional: meta-GGA SCAN
Structure: PBEsol geometry

Spin magnetization, μB per atom: 0.00
Crystal system: cubic
Space group: No. 216
Energy of formation, eV/atom: -0.009

abc: 4.7537 4.7537 4.7537
angles: 60.00 60.00 60.00
Element x y z (fractional)
Cr 0.3733 0.3733 0.3733
Cr 0.3733 0.3733 0.8800
Cr 0.8800 0.3733 0.3733
Cr 0.3733 0.8800 0.3733
Os 0.7500 0.7500 0.7500
Ta 0.0000 0.0000 0.0000

Compound: TaCrOs
Source: the Alexandria database
Functional: meta-GGA SCAN
Structure: PBEsol geometry

Spin magnetization, μB per atom: 0.84
Crystal system: cubic
Space group: No. 216
Energy of formation, eV/atom: 0.328
E above lowest polymorph, meV per atom: 0.0

abc: 4.1893 4.1893 4.1893
angles: 60.00 60.00 60.00
Site moments in Bohr magnetons follow the coordinates.
Element x y z (fractional)
Cr 0.5000 0.5000 0.5000  2.62
Os 0.2500 0.2500 0.2500  -0.17
Ta 0.0000 0.0000 0.0000  -0.07

Compound: Cr2TcOs
Source: the Alexandria database
Functional: meta-GGA SCAN
Structure: PBEsol geometry

Spin magnetization, μB per atom: 0.00
Crystal system: orthorhombic
Space group: No. 44
Energy of formation, eV/atom: 0.025

abc: 2.8794 4.1977 4.8928
angles: 115.40 107.11 90.00
Element x y z (fractional)
Cr 0.0189 0.0189 0.0378
Cr 0.7303 0.2303 0.4606
Os 0.4893 0.4893 0.9786
Tc 0.2615 0.7615 0.5230

Compound: Cr4TcOs
Source: the Alexandria database
Functional: meta-GGA SCAN
Structure: PBEsol geometry

Spin magnetization, μB per atom: 0.00
Crystal system: cubic
Space group: No. 216
Energy of formation, eV/atom: 0.014

abc: 4.6733 4.6733 4.6733
angles: 60.00 60.00 60.00
Element x y z (fractional)
Cr 0.3746 0.3746 0.3746
Cr 0.3746 0.3746 0.8763
Cr 0.8763 0.3746 0.3746
Cr 0.3746 0.8763 0.3746
Os 0.7500 0.7500 0.7500
Tc 0.0000 0.0000 0.0000

Compound: CrTcOs2
Source: the Alexandria database
Functional: meta-GGA SCAN
Structure: PBEsol geometry

Spin magnetization, μB per atom: 0.00
Crystal system: tetragonal
Space group: No. 123
Energy of formation, eV/atom: 0.066
E above lowest polymorph, meV per atom: 0.0

abc: 2.6762 2.6762 7.4691
angles: 90.00 90.00 90.00
Element x y z (fractional)
Cr 0.5000 0.5000 0.5000
Os 0.0000 0.0000 0.7395
Os 0.0000 0.0000 0.2605
Tc 0.5000 0.5000 0.0000

Compound: CrTc2Os
Source: the Alexandria database
Functional: meta-GGA SCAN
Structure: PBEsol geometry

Spin magnetization, μB per atom: 0.00
Crystal system: monoclinic
Space group: No. 6
Energy of formation, eV/atom: 0.091
E above lowest polymorph, meV per atom: 0.0

abc: 2.6831 4.0547 5.1156
angles: 90.00 105.23 90.00
Element x y z (fractional)
Cr 0.6880 0.0000 0.5056
Os 0.3017 0.5000 0.7281
Tc 0.9430 0.0000 0.0085
Tc 0.5673 0.5000 0.2579

Compound: CrTc2Os
Source: the Alexandria database
Functional: meta-GGA SCAN
Structure: PBEsol geometry

Spin magnetization, μB per atom: 0.00
Crystal system: trigonal
Space group: No. 160
Energy of formation, eV/atom: 0.131
E above lowest polymorph, meV per atom: 39.8

abc: 2.6845 2.6845 8.7674
angles: 81.19 81.19 60.00
Element x y z (fractional)
Cr 0.5008 0.5008 0.4975
Os 0.2462 0.2462 0.2613
Tc 0.0013 0.0013 0.9960
Tc 0.7516 0.7516 0.7451

Compound: CrTc2Os
Source: the Alexandria database
Functional: meta-GGA SCAN
Structure: PBEsol geometry

Spin magnetization, μB per atom: 0.00
Crystal system: tetragonal
Space group: No. 123
Energy of formation, eV/atom: 0.094
E above lowest polymorph, meV per atom: 2.6

abc: 3.7640 3.7640 3.7894
angles: 90.00 90.00 90.00
Element x y z (fractional)
Cr 0.5000 0.5000 0.5000
Os 0.0000 0.0000 0.5000
Tc 0.0000 0.5000 0.0000
Tc 0.5000 0.0000 0.0000

Compound: CrTcOs
Source: the Alexandria database
Functional: meta-GGA SCAN
Structure: PBEsol geometry

Spin magnetization, μB per atom: 0.89
Crystal system: cubic
Space group: No. 216
Energy of formation, eV/atom: 0.449
E above lowest polymorph, meV per atom: 0.0

abc: 4.0838 4.0838 4.0838
angles: 60.00 60.00 60.00
Site moments in Bohr magnetons follow the coordinates.
Element x y z (fractional)
Cr 0.5000 0.5000 0.5000  2.72
Os 0.2500 0.2500 0.2500  -0.39
Tc 0.0000 0.0000 0.0000  0.22